The following is a DFT calculation (PBE) of Cs4LiCd3Br12 after structural relaxation.

```
Cs4LiCd3Br12
1.0
-8.302 -3.925 3.112
7.477 -4.392 4.337
0.113 9.453 2.153
Cs Li Cd Br
4 1 3 12
Direct
0.500 0.500 0.500 Cs
0.000 0.000 0.500 Cs
0.500 0.000 0.000 Cs
0.000 0.500 0.000 Cs
0.000 0.000 0.000 Li
0.500 0.000 0.500 Cd
0.500 0.500 0.000 Cd
0.000 0.500 0.500 Cd
0.250 0.500 0.750 Br
0.748 0.000 0.748 Br
0.252 0.000 0.252 Br
0.750 0.500 0.250 Br
0.748 0.748 0.000 Br
0.252 0.252 0.000 Br
0.750 0.250 0.500 Br
0.250 0.750 0.500 Br
0.500 0.250 0.750 Br
0.000 0.748 0.748 Br
0.500 0.750 0.250 Br
0.000 0.252 0.252 Br
```

Calculated values
space group	No. 229


The following is a DFT calculation (PBE) of Cs3LiCd2Br9 after structural relaxation.

```
Cs3LiCd2Br9
1.0
7.858 0.000 0.000
-3.929 6.805 0.000
0.000 0.000 9.702
Cs Li Cd Br
3 1 2 9
Direct
0.333 0.667 0.664 Cs
0.000 0.000 0.000 Cs
0.667 0.333 0.336 Cs
0.000 0.000 0.500 Li
0.333 0.667 0.178 Cd
0.667 0.333 0.822 Cd
0.836 0.164 0.666 Br
0.836 0.671 0.666 Br
0.329 0.164 0.666 Br
0.671 0.836 0.334 Br
0.164 0.329 0.334 Br
0.164 0.836 0.334 Br
0.500 0.000 0.000 Br
0.000 0.500 0.000 Br
0.500 0.500 0.000 Br
```

Calculated values
space group	No. 164


The following is a DFT calculation (PBE) of Cs3Li2CdBr6 after structural relaxation.

```
Cs3Li2CdBr6
1.0
-0.396 8.211 0.516
-0.235 -4.573 6.847
9.307 0.411 0.594
Cs Li Cd Br
3 2 1 6
Direct
0.333 0.667 0.629 Cs
0.667 0.333 0.371 Cs
0.000 0.000 0.000 Cs
0.667 0.333 0.767 Li
0.333 0.667 0.233 Li
0.000 0.000 0.500 Cd
0.663 0.831 0.290 Br
0.169 0.337 0.290 Br
0.169 0.831 0.290 Br
0.831 0.663 0.710 Br
0.337 0.169 0.710 Br
0.831 0.169 0.710 Br
```

Calculated values
space group	No. 164


The following is a DFT calculation (PBE) of Cs2MgCdBr6 after structural relaxation.

```
Cs2MgCdBr6
1.0
-0.652 -7.726 1.024
6.416 0.051 4.472
-0.247 -2.980 7.228
Cs Mg Br Cd
2 1 6 1
Direct
0.750 0.250 0.500 Cs
0.250 0.750 0.500 Cs
0.500 0.500 0.000 Mg
0.254 0.254 0.491 Br
0.746 0.746 0.509 Br
0.255 0.255 0.000 Br
0.745 0.745 0.000 Br
0.745 0.255 0.000 Br
0.255 0.745 0.000 Br
0.000 0.000 0.000 Cd
```

Calculated values
E above lowest polymorph	0.0236	eV per atom
space group	No. 225


no.,spin magnetization (μB per atom),E (eV/cell),ΔE_f (raw) (eV/atom)
1,0.00,-52.69,-1.227
2,0.00,-39.78,-1.228
3,0.06,-33.72,-1.365
4,0.00,-28.36,-1.411